A relaxed Sc2Al5Tc crystal, computed with PBE.

## Properties
volume: 271 Å³ per cell
Fermi-level density of states: 10.67 states/eV/cell
formation energy: -0.36 eV/atom
spin magnetization: 0.00 μB/cell

abc: 6.236 6.236 6.957
angles: 90.00 90.00 90.00
Space group I4mm (No. 107)
Symmetry-distinct sites (fractional):
Sc 0.000 0.500 0.000 (multiplicity 4)
Al 0.000 0.000 0.048 (multiplicity 2)
Al 0.216 0.216 0.751 (multiplicity 8)
Tc 0.000 0.000 0.424 (multiplicity 2)